No. 1
# PBE TmZrBeIr, relaxed
data_TmZrBeIr
_symmetry_space_group_name_H-M 'F -4 3 m'
_symmetry_Int_Tables_number 216
_symmetry_space_group_name_Hall 'F -4 2 3'
_cell_length_a 6.645
_cell_length_b 6.645
_cell_length_c 6.645
_cell_angle_alpha 90.00
_cell_angle_beta 90.00
_cell_angle_gamma 90.00
loop_
_atom_site_label
_atom_site_type_symbol
_atom_site_fract_x
_atom_site_fract_y
_atom_site_fract_z
_atom_site_occupancy
Tm1 Tm 0.000 0.000 0.000 1
Zr1 Zr 0.000 0.000 0.500 1
Be1 Be 0.250 0.250 0.250 1
Ir1 Ir 0.250 0.250 0.750 1
# Total moment: 0.00 μB/atom
# Formation enthalpy at 0 K: -1.605 eV per formula unit
# Total energy: -6.803 eV per atom

=====

No. 2
# PBE PmPrYLu, relaxed
data_PmPrYLu
_symmetry_space_group_name_H-M 'F -4 3 m'
_symmetry_Int_Tables_number 216
_symmetry_space_group_name_Hall 'F -4 2 3'
_cell_length_a 8.108
_cell_length_b 8.108
_cell_length_c 8.108
_cell_angle_alpha 90.00
_cell_angle_beta 90.00
_cell_angle_gamma 90.00
loop_
_atom_site_label
_atom_site_type_symbol
_atom_site_fract_x
_atom_site_fract_y
_atom_site_fract_z
_atom_site_occupancy
Pm1 Pm 0.000 0.000 0.000 1
Pr1 Pr 0.000 0.000 0.500 1
Y1 Y 0.250 0.250 0.750 1
Lu1 Lu 0.250 0.250 0.250 1
# Total moment: 0.00 μB/atom
# Formation enthalpy at 0 K: 0.374 eV per formula unit
# E above lowest polymorph: 0.000 eV/atom
# Total energy: -5.035 eV per atom

=====

No. 3
# PBE BaTcTe2I, relaxed
data_BaTcTe2I
_symmetry_space_group_name_H-M 'P 4/m m m'
_symmetry_Int_Tables_number 123
_symmetry_space_group_name_Hall '-P 4 2'
_cell_length_a 5.477
_cell_length_b 5.477
_cell_length_c 5.648
_cell_angle_alpha 90.00
_cell_angle_beta 90.00
_cell_angle_gamma 90.00
loop_
_atom_site_label
_atom_site_type_symbol
_atom_site_fract_x
_atom_site_fract_y
_atom_site_fract_z
_atom_site_occupancy
Ba1 Ba 0.000 0.000 0.000 1
Tc1 Tc 0.500 0.500 0.500 1
Te1 Te 0.000 0.500 0.500 1
I1 I 0.500 0.500 0.000 1
# Total moment: 0.64 μB/atom
# E above lowest polymorph: 0.000 eV/atom
# Total energy: -4.454 eV per atom

=====

No. 4
# PBE KZnReGe2, relaxed
data_KZnReGe2
_symmetry_space_group_name_H-M 'P 4/m m m'
_symmetry_Int_Tables_number 123
_symmetry_space_group_name_Hall '-P 4 2'
_cell_length_a 4.832
_cell_length_b 4.832
_cell_length_c 5.101
_cell_angle_alpha 90.00
_cell_angle_beta 90.00
_cell_angle_gamma 90.00
loop_
_atom_site_label
_atom_site_type_symbol
_atom_site_fract_x
_atom_site_fract_y
_atom_site_fract_z
_atom_site_occupancy
K1 K 0.000 0.000 0.000 1
Zn1 Zn 0.500 0.500 0.000 1
Re1 Re 0.500 0.500 0.500 1
Ge1 Ge 0.000 0.500 0.500 1
# Total moment: 0.00 μB/atom
# Formation enthalpy at 0 K: 0.064 eV per formula unit
# Total energy: -4.798 eV per atom

=====

No. 5
# PBE LaMgRh, relaxed
data_LaMgRh
_symmetry_space_group_name_H-M 'F -4 3 m'
_symmetry_Int_Tables_number 216
_symmetry_space_group_name_Hall 'F -4 2 3'
_cell_length_a 6.921
_cell_length_b 6.921
_cell_length_c 6.921
_cell_angle_alpha 90.00
_cell_angle_beta 90.00
_cell_angle_gamma 90.00
loop_
_atom_site_label
_atom_site_type_symbol
_atom_site_fract_x
_atom_site_fract_y
_atom_site_fract_z
_atom_site_occupancy
La1 La 0.000 0.000 0.000 1
Mg1 Mg 0.250 0.250 0.250 1
Rh1 Rh 0.250 0.250 0.750 1
# Total moment: 0.00 μB/atom
# Formation enthalpy at 0 K: 0.896 eV per formula unit
# Total energy: -4.326 eV per atom

=====

No. 6
# PBE CeDy7Ho4, relaxed
data_CeDy7Ho4
_symmetry_space_group_name_H-M 'C 1 2/m 1'
_symmetry_Int_Tables_number 12
_cell_length_a 18.725
_cell_length_b 6.865
_cell_length_c 5.929
_cell_angle_alpha 90.00
_cell_angle_beta 90.10
_cell_angle_gamma 90.00
loop_
_symmetry_equiv_pos_as_xyz
'x,y,z'
'-x,-y,-z'
'-x,y,-z'
'x,-y,z'
'x+1/2,y+1/2,z'
'-x+1/2,-y+1/2,-z'
'-x+1/2,y+1/2,-z'
'x+1/2,-y+1/2,z'
loop_
_atom_site_label
_atom_site_type_symbol
_atom_site_fract_x
_atom_site_fract_y
_atom_site_fract_z
_atom_site_occupancy
Ce1 Ce 0.000 0.000 0.000 1
Dy1 Dy 0.000 0.000 0.500 1
Dy2 Dy 0.039 0.500 0.250 1
Dy3 Dy 0.187 0.000 0.253 1
Dy4 Dy 0.214 0.500 0.244 1
Ho1 Ho 0.136 0.268 0.747 1
# Total moment: 0.11 μB/atom
# Formation enthalpy at 0 K: 1.784 eV per formula unit
# E above lowest polymorph: 0.000 eV/atom
# Total energy: -4.556 eV per atom